[1]
The following is a DFT calculation (PBE) of a relaxed Sr4SiB2 crystal.

a b c (Å): 6.108 6.108 13.406
angles (deg): 90.00 90.00 90.00
Space group I4/mmm (No. 139)
Inequivalent atoms, fractional coordinates:
Sr (0.000, 0.000, 0.231) (multiplicity 4)
Sr (0.000, 0.500, 0.000) (multiplicity 4)
Si (0.000, 0.000, 0.000) (multiplicity 2)
B (0.000, 0.000, 0.442) (multiplicity 4)

## Properties
Total magnetization   0.145 μB per atom
Formation energy without anion corrections   0.327 eV per atom
E_tot   -23.218 eV per formula unit


[2]
The following is a DFT calculation (PBE) of a relaxed Np2Ga2Ir3 crystal.

a b c (Å): 13.172 4.264 5.360
angles (deg): 90.00 112.27 90.00
Space group C2/m (No. 12)
Inequivalent atoms, fractional coordinates:
Np (0.142, 0.000, 0.238) (multiplicity 4)
Ga (0.093, 0.500, 0.757) (multiplicity 4)
Ir (0.000, 0.000, 0.500) (multiplicity 2)
Ir (0.227, 0.000, 0.802) (multiplicity 4)

## Properties
Total magnetization   0.936 μB per atom
Energy of formation from the pure elements   -0.295 eV/atom
E_tot   -60.580 eV per formula unit


[3]
The following is a DFT calculation (PBE) of a relaxed MgZr2Ga crystal.

a b c (Å): 7.830 7.830 5.658
angles (deg): 90.00 90.00 90.00
Space group I-42d (No. 122)
Inequivalent atoms, fractional coordinates:
Mg (0.000, 0.000, 0.000) (multiplicity 4)
Zr (0.233, 0.750, 0.625) (multiplicity 8)
Ga (0.000, 0.000, 0.500) (multiplicity 4)

## Properties
Total magnetization   0.000 μB per atom
Energy of formation from the pure elements   0.102 eV/atom
E_tot   -21.309 eV per formula unit


[4]
The following is a DFT calculation (PBE) of a relaxed AcTaH8Ru2 crystal.

a b c (Å): 4.7166 4.7166 17.3311
angles (deg): 90.00 90.00 120.00
Space group R-3m (No. 166, hexagonal axes)
Inequivalent atoms, fractional coordinates:
Ac (0.0000, 0.0000, 0.0000) (multiplicity 3)
Ta (0.0000, 0.0000, 0.5000) (multiplicity 3)
H (0.0000, 0.0000, 0.3084) (multiplicity 6)
H (0.0438, 0.5219, 0.0771) (multiplicity 18)
Ru (0.0000, 0.0000, 0.2120) (multiplicity 6)

## Properties
Total magnetization   0.000 μB per atom
E_tot   -64.110 eV per formula unit


[5]
The following is a DFT calculation (PBE) of a relaxed Tb2Nd3Er6Pb crystal.

a b c (Å): 6.131 10.615 11.667
angles (deg): 90.00 100.13 90.00
Space group C2/m (No. 12)
Inequivalent atoms, fractional coordinates:
Tb (0.000, 0.166, 0.000) (multiplicity 4)
Nd (0.000, 0.000, 0.500) (multiplicity 2)
Nd (0.000, 0.333, 0.500) (multiplicity 4)
Er (0.245, 0.336, 0.245) (multiplicity 8)
Er (0.247, 0.500, 0.754) (multiplicity 4)
Pb (0.000, 0.500, 0.000) (multiplicity 2)

## Properties
Total magnetization   0.000 μB per atom
Energy of formation from the pure elements   -0.052 eV/atom
E_tot   -55.276 eV per formula unit